SrErAgSn: relaxed, PBE-GGA.

Geometry as CIF:
```
data_SrErAgSn
_symmetry_space_group_name_H-M 'F -4 3 m'
_symmetry_Int_Tables_number 216
_symmetry_space_group_name_Hall 'F -4 2 3'
_cell_length_a 7.639
_cell_length_b 7.639
_cell_length_c 7.639
_cell_angle_alpha 90.00
_cell_angle_beta 90.00
_cell_angle_gamma 90.00
loop_
_atom_site_label
_atom_site_fract_x
_atom_site_fract_y
_atom_site_fract_z
_atom_site_occupancy
Sr1 0.000 0.000 0.000 1
Er1 0.000 0.000 0.500 1
Ag1 0.250 0.250 0.750 1
Sn1 0.250 0.250 0.250 1
```

Properties
Crystal system: cubic
Uncorrected energy in eV per cell: -59.612
Formation energy in eV/atom: -0.451